The following is a DFT calculation (PBE) of a geometry-optimized Tb3PrZn2 structure.

Cell and atoms, written as extended XYZ:
```
6
Lattice="3.589 0.000 0.000 0.000 3.589 0.000 0.000 0.000 12.357" Properties=species:S:1:pos:R:3 pbc="T T T"
Pr 1.795 1.795 6.178
Zn 1.795 1.795 1.763
Tb 0.000 0.000 0.000
Zn 1.795 1.795 10.594
Tb 0.000 0.000 3.532
Tb 0.000 0.000 8.825
```

Output
space group = No. 123
magnetization = 0.000 μB/atom
energy of formation from the pure elements = -1.4 eV per formula unit
uncorrected energy = -3.76 eV/atom